## CsTlSn (PBE)

Data for a geometry-optimized CsTlSn structure.

## Properties
Calculated formation energy, eV/f.u.: -0.5
Space group: Pnma
N(E_F), states/eV/f.u.: 0.12

a b c (Å): 9.4552 5.4912 8.7582
angles (deg): 90.00 90.00 90.00
Fractional coordinates of all 12 atoms:
Tl1 0.1621 0.7500 0.5896
Tl2 0.6621 0.7500 0.9104
Tl3 0.3379 0.2500 0.0896
Tl4 0.8379 0.2500 0.4104
Sn1 0.3329 0.7500 0.9043
Sn2 0.6671 0.2500 0.0957
Sn3 0.8329 0.7500 0.5957
Sn4 0.1671 0.2500 0.4043
Cs1 0.9976 0.7500 0.1669
Cs2 0.4976 0.7500 0.3331
Cs3 0.0024 0.2500 0.8331
Cs4 0.5024 0.2500 0.6669